! FeCo2PbF8 | the Alexandria database | PBE+U | relaxed; values from VASP
! - total magnetic moment (μB per atom) = 0.833
! - total energy (eV/atom) = -5.102
! - crystal system = triclinic
&SYSTEM
  ibrav = 0, nat = 12, ntyp = 4
/
ATOMIC_SPECIES
Fe 55.84 Fe.upf
Co 58.93 Co.upf
Pb 207.20 Pb.upf
F 19.00 F.upf
CELL_PARAMETERS angstrom
5.022 0.000 0.000
0.069 5.035 0.000
0.021 0.019 6.754
ATOMIC_POSITIONS crystal
Fe 0.000 0.000 0.000
Co 0.500 0.500 0.238
Co 0.500 0.500 0.762
Pb 0.000 0.000 0.500
F 0.212 0.780 0.219
F 0.213 0.781 0.781
F 0.303 0.298 0.001
F 0.339 0.326 0.501
F 0.661 0.674 0.499
F 0.697 0.702 0.999
F 0.787 0.219 0.219
F 0.788 0.220 0.781